No. 1
Compound: VAgHgF6
Source: Alexandria via LeMat-Bulk
Functional: PBE with a Hubbard U
Structure: optimized geometry Values from VASP.

Properties
Symmetry: P-31c, No. 163

Structure (Quantum ESPRESSO input):
```
&SYSTEM
  ibrav = 0, nat = 18, ntyp = 4
/
ATOMIC_SPECIES
V 50.94 V.upf
Ag 107.87 Ag.upf
Hg 200.59 Hg.upf
F 19.00 F.upf
ATOMIC_POSITIONS crystal
V 0.3333 0.6667 0.2500
V 0.6667 0.3333 0.7500
Ag 0.0000 0.0000 0.0000
Ag 0.0000 0.0000 0.5000
Hg 0.3333 0.6667 0.7500
Hg 0.6667 0.3333 0.2500
F 0.0729 0.3995 0.1309
F 0.0729 0.6734 0.3691
F 0.3266 0.3995 0.3691
F 0.3266 0.9271 0.1309
F 0.3995 0.0729 0.6309
F 0.3995 0.3266 0.8691
F 0.6005 0.6734 0.1309
F 0.6005 0.9271 0.3691
F 0.6734 0.0729 0.8691
F 0.6734 0.6005 0.6309
F 0.9271 0.3266 0.6309
F 0.9271 0.6005 0.8691
CELL_PARAMETERS angstrom
6.1008 0.0000 0.0000
-3.0504 5.2835 0.0000
0.0000 0.0000 8.7498
```

---

No. 2
Compound: VAg2HgF
Source: Alexandria via LeMat-Bulk
Functional: PBE with a Hubbard U
Structure: optimized geometry Values from VASP.

Properties
Symmetry: P4/mmm, No. 123

Structure (Quantum ESPRESSO input):
```
&SYSTEM
  ibrav = 0, nat = 5, ntyp = 4
/
ATOMIC_SPECIES
V 50.94 V.upf
Ag 107.87 Ag.upf
Hg 200.59 Hg.upf
F 19.00 F.upf
ATOMIC_POSITIONS crystal
V 0.0000 0.0000 0.0000
Ag 0.0000 0.5000 0.5000
Ag 0.5000 0.0000 0.5000
Hg 0.0000 0.0000 0.5000
F 0.5000 0.5000 0.0000
CELL_PARAMETERS angstrom
5.2076 0.0000 0.0000
0.0000 5.2076 0.0000
0.0000 0.0000 5.4879
```

---

| no. | final energy (eV per atom) |
| --- | --- |
| 1 | -4.320 |
| 2 | -2.190 |